Record 1
MnIn2Ag after structural relaxation, computed with PBEsol.

abc: 4.3185 4.3185 3.8585
angles: 90.00 90.00 90.00
Closest atoms and distances in Å follow each position.
Atoms (fractional coordinates):
Mn: 0.0000 0.0000 0.0000  8 In 2.90, 4 Ag 3.05
In: 0.0000 0.5000 0.5000  4 Mn 2.90, 4 Ag 2.90, 4 In 3.05
In: 0.5000 0.0000 0.5000  4 Mn 2.90, 4 Ag 2.90, 4 In 3.05
Ag: 0.5000 0.5000 0.0000  8 In 2.90, 4 Mn 3.05

Properties
Space-group type: P4/mmm (123)
ΔE to the lowest computed polymorph in meV per atom: 0
Spin magnetization in μB/cell: 3.12
ΔH_f (0 K) in meV per atom: 156
Total energy in eV/atom: -4.603

***

Record 2
BaSc2Zn2 after structural relaxation, computed with PBEsol.

abc: 6.4410 6.4410 6.4410
angles: 134.01 134.01 67.07
Closest atoms and distances in Å follow each position.
Atoms (fractional coordinates):
Ba: 0.0000 0.0000 0.0000  8 Zn 3.68, 10 Sc 3.70-3.93
Sc: 0.3442 0.3442 0.0000  4 Zn 2.71
Sc: 0.6558 0.6558 0.0000  4 Zn 2.71
Zn: 0.2500 0.7500 0.5000  4 Sc 2.71
Zn: 0.7500 0.2500 0.5000  4 Sc 2.71

Properties
Space-group type: I4/mmm (139)
Spin magnetization in μB/cell: 1.30
ΔH_f (0 K) in meV per atom: 112
Total energy in eV/atom: -3.592

***

Record 3
MnTc2Ag after structural relaxation, computed with PBEsol.

abc: 3.0487 3.0487 6.0886
angles: 90.00 90.00 90.00
Closest atoms and distances in Å follow each position.
Atoms (fractional coordinates):
Mn: 0.0000 0.0000 0.0000  8 Tc 2.48
Tc: 0.5000 0.5000 0.2025  1 Tc 2.47, 4 Mn 2.48
Tc: 0.5000 0.5000 0.7975  1 Tc 2.47, 4 Mn 2.48
Ag: 0.0000 0.0000 0.5000  8 Tc 2.82, 2 Mn 3.04, 4 Ag 3.05

Properties
Space-group type: P4/mmm (123)
ΔE to the lowest computed polymorph in meV per atom: 4
Spin magnetization in μB/cell: 1.24
ΔH_f (0 K) in meV per atom: 435
Total energy in eV/atom: -8.467

***

Record 4
LiCaIr2 after structural relaxation, computed with PBEsol.

abc: 2.8700 4.5400 4.8092
angles: 90.00 90.00 90.00
Closest atoms and distances in Å follow each position.
Atoms (fractional coordinates):
Li: 0.0000 0.0000 0.0000  4 Ir 2.54-2.80, 4 Ca 2.79
Ca: 0.5000 0.5000 0.8398  4 Li 2.79, 6 Ir 2.80-2.99, 2 Ca 2.87
Ir: 0.0000 0.5000 0.3408  6 Ir 2.72-2.87, 4 Ca 2.80, 2 Li 2.80
Ir: 0.5000 0.0000 0.4366  2 Li 2.54, 4 Ir 2.72

Properties
Space-group type: Pmm2 (25)
ΔE to the lowest computed polymorph in meV per atom: 42
Spin magnetization in μB/cell: 0.00
ΔH_f (0 K) in meV per atom: -40
Total energy in eV/atom: -5.977

***

Record 5
OsSeS3Cl4 after structural relaxation, computed with PBEsol.

abc: 9.1487 8.8098 11.6552
angles: 90.00 106.26 90.00
Closest atoms and distances in Å follow each position.
Atoms (fractional coordinates):
Os: 0.0445 0.0000 0.2183  3 S 2.23-2.26, 3 Cl 2.38-2.43
Os: 0.3174 0.8639 0.2905  3 S 2.23-2.26, 2 Cl 2.40-2.43
Os: 0.6826 0.3639 0.7095  3 S 2.23-2.26, 2 Cl 2.40-2.43
Os: 0.9556 0.5000 0.7817  3 S 2.23-2.26, 3 Cl 2.38-2.43
Se: 0.0109 0.5782 0.1164  2 S 2.25-2.26
Se: 0.4837 0.5063 0.7778  2 Cl 2.19-2.20
Se: 0.5163 0.0063 0.2222  2 Cl 2.19-2.20
Se: 0.9891 0.0782 0.8836  2 S 2.25-2.26
S: 0.0524 0.3276 0.6836  1 S 2.03, 1 Os 2.23
S: 0.1426 0.8309 0.1159  2 Os 2.23-2.25
S: 0.1626 0.1601 0.7939  1 S 2.03, 1 Se 2.25
S: 0.1647 0.4955 0.2927  1 S 2.02, 1 Se 2.26
S: 0.2194 0.6882 0.3894  1 S 2.02, 1 Os 2.26
S: 0.2369 0.0603 0.3816  1 Cl 2.08, 2 Os 2.26
S: 0.7631 0.5603 0.6184  1 Cl 2.08, 2 Os 2.26
S: 0.7806 0.1882 0.6106  1 S 2.02, 1 Os 2.26
S: 0.8353 0.9955 0.7073  1 S 2.02, 1 Se 2.26
S: 0.8374 0.6601 0.2061  1 S 2.03, 1 Se 2.25
S: 0.8574 0.3309 0.8841  2 Os 2.23-2.25
S: 0.9476 0.8276 0.3164  1 S 2.03, 1 Os 2.23
Cl: 0.0934 0.6894 0.7094  1 Os 2.38
Cl: 0.1287 0.2077 0.1158  1 Os 2.43
Cl: 0.1784 0.4992 0.9490  1 Os 2.39
Cl: 0.1877 0.9949 0.5382  1 S 2.08
Cl: 0.4301 0.0332 0.0271  1 Se 2.20
Cl: 0.4476 0.3911 0.5504  1 Os 2.43
Cl: 0.4688 0.6875 0.2165  1 Os 2.40
Cl: 0.4880 0.7436 0.7241  1 Se 2.19
Cl: 0.5120 0.2436 0.2759  1 Se 2.19
Cl: 0.5312 0.1875 0.7835  1 Os 2.40
Cl: 0.5524 0.8911 0.4496  1 Os 2.43
Cl: 0.5699 0.5332 0.9729  1 Se 2.20
Cl: 0.8123 0.4949 0.4618  1 S 2.08
Cl: 0.8216 0.9992 0.0510  1 Os 2.39
Cl: 0.8713 0.7077 0.8842  1 Os 2.43
Cl: 0.9066 0.1894 0.2906  1 Os 2.38

Properties
Space-group type: P2_1 (4)
Spin magnetization in μB/cell: 0.00
Uncorrected formation energy in kJ/mol of atoms: -32.0
Total energy in eV/atom: -4.471

***

Record 6
Y3Mn after structural relaxation, computed with PBEsol.

abc: 3.4884 3.4884 10.1025
angles: 90.00 90.00 120.00
Closest atoms and distances in Å follow each position.
Atoms (fractional coordinates):
Y: 0.0000 0.0000 0.0000  12 Y 3.49-3.53
Y: 0.6667 0.3333 0.2874  3 Mn 2.94
Y: 0.6667 0.3333 0.7126  3 Mn 2.94
Mn: 0.0000 0.0000 0.5000  6 Y 2.94

Properties
Space-group type: P-6m2 (187)
Spin magnetization in μB/cell: 3.44
ΔH_f (0 K) in meV per atom: 308
Total energy in eV/atom: -7.249

***

Record 7
YSc2Ga2 after structural relaxation, computed with PBEsol.

abc: 6.7739 6.7739 6.7739
angles: 143.71 143.71 52.26
Closest atoms and distances in Å follow each position.
Atoms (fractional coordinates):
Y: 0.0000 0.0000 0.0000  8 Ga 3.22
Sc: 0.2500 0.7500 0.5000  4 Ga 2.80, 4 Sc 2.98
Sc: 0.7500 0.2500 0.5000  4 Ga 2.80, 4 Sc 2.98
Ga: 0.4008 0.4008 0.0000  1 Ga 2.41
Ga: 0.5992 0.5992 0.0000  1 Ga 2.41

Properties
Space-group type: I4/mmm (139)
ΔE to the lowest computed polymorph in meV per atom: 23
Spin magnetization in μB/cell: 0.00
ΔH_f (0 K) in meV per atom: -507
Total energy in eV/atom: -5.850

***

Record 8
Cr2W after structural relaxation, computed with PBEsol.

abc: 4.8636 4.8636 4.8636
angles: 144.71 144.71 50.76
Closest atoms and distances in Å follow each position.
Atoms (fractional coordinates):
Cr: 0.1719 0.1719 0.0000  4 Cr 2.50, 4 W 2.57
Cr: 0.8281 0.8281 0.0000  4 Cr 2.50, 4 W 2.57
W: 0.5000 0.5000 0.0000  10 Cr 2.57-2.88

Properties
Space-group type: I4/mmm (139)
ΔE to the lowest computed polymorph in meV per atom: 8
Spin magnetization in μB/cell: 0.00
ΔH_f (0 K) in meV per atom: 70
Total energy in eV/atom: -11.361

***

Record 9
La3Eu after structural relaxation, computed with PBEsol.

abc: 6.3097 6.3097 6.3097
angles: 131.74 131.74 70.64
Closest atoms and distances in Å follow each position.
Atoms (fractional coordinates):
La: 0.0000 0.0000 0.0000  8 La 3.64, 4 Eu 3.65
La: 0.2500 0.7500 0.5000  4 Eu 3.64, 8 La 3.64-3.65
La: 0.7500 0.2500 0.5000  4 Eu 3.64, 8 La 3.64-3.65
Eu: 0.5000 0.5000 0.0000  12 La 3.64-3.65

Properties
Space-group type: I4/mmm (139)
Spin magnetization in μB/cell: 7.33
ΔH_f (0 K) in meV per atom: 39
Total energy in eV/atom: -6.611

***

Record 10
CaCr2Mo after structural relaxation, computed with PBEsol.

abc: 2.8291 4.0469 6.2293
angles: 90.00 98.61 90.00
Closest atoms and distances in Å follow each position.
Atoms (fractional coordinates):
Ca: 0.0000 0.0000 0.0000  2 Ca 2.83, 4 Cr 3.06
Cr: 0.1824 0.5000 0.6527  1 Cr 2.02
Cr: 0.8176 0.5000 0.3473  1 Cr 2.02
Mo: 0.5000 0.0000 0.5000  4 Cr 2.46

Properties
Space-group type: P2/m (10)
ΔE to the lowest computed polymorph in meV per atom: 0
Spin magnetization in μB/cell: 0.00
ΔH_f (0 K) in meV per atom: 630
Total energy in eV/atom: -7.966

***

Record 11
SmMg2Cu after structural relaxation, computed with PBEsol.

abc: 5.3882 5.3882 7.9760
angles: 90.00 90.00 132.47
Closest atoms and distances in Å follow each position.
Atoms (fractional coordinates):
Sm: 0.0542 0.9458 0.7500  3 Cu 2.87-2.99
Sm: 0.9458 0.0542 0.2500  3 Cu 2.87-2.99
Mg: 0.3495 0.6505 0.5556  3 Cu 2.68-2.80
Mg: 0.3495 0.6505 0.9444  3 Cu 2.68-2.80
Mg: 0.6505 0.3495 0.0556  3 Cu 2.68-2.80
Mg: 0.6505 0.3495 0.4444  3 Cu 2.68-2.80
Cu: 0.2369 0.7631 0.2500  6 Mg 2.68-2.80, 3 Sm 2.87-2.99
Cu: 0.7631 0.2369 0.7500  6 Mg 2.68-2.80, 3 Sm 2.87-2.99

Properties
Space-group type: Cmcm (63)
Spin magnetization in μB/cell: 0.00
ΔH_f (0 K) in meV per atom: -149
Total energy in eV/atom: -3.364

***

Record 12
IrRu after structural relaxation, computed with PBEsol.

abc: 2.7067 2.7067 8.6286
angles: 90.00 90.00 120.00
Closest atoms and distances in Å follow each position.
Atoms (fractional coordinates):
Ir: 0.3333 0.6667 0.3693  3 Ru 2.66, 9 Ir 2.71-2.74
Ir: 0.6667 0.3333 0.6307  3 Ru 2.66, 9 Ir 2.71-2.74
Ru: 0.3333 0.6667 0.8801  9 Ru 2.59-2.71, 3 Ir 2.66
Ru: 0.6667 0.3333 0.1199  9 Ru 2.59-2.71, 3 Ir 2.66

Properties
Space-group type: P-3m1 (164)
ΔE to the lowest computed polymorph in meV per atom: 29
Spin magnetization in μB/cell: 0.00
ΔH_f (0 K) in meV per atom: -21
Total energy in eV/atom: -10.019

***

Record 13
TcPbCl2 after structural relaxation, computed with PBEsol.

abc: 8.5044 8.5044 8.5044
angles: 23.19 23.19 23.19
Closest atoms and distances in Å follow each position.
Atoms (fractional coordinates):
Tc: 0.0000 0.0000 0.0000  3 Cl 2.32
Pb: 0.2455 0.2455 0.2455  3 Cl 2.85, 3 Tc 2.94
Cl: 0.4960 0.4960 0.4960  3 Pb 2.85
Cl: 0.7160 0.7160 0.7160  3 Tc 2.32

Properties
Space-group type: R3m (160)
ΔE to the lowest computed polymorph in meV per atom: 158
Spin magnetization in μB/cell: 0.00
Uncorrected formation energy in kJ/mol of atoms: -0.5
Total energy in eV/atom: -4.826